Compound: Ce12P3H5
Source: Alexandria
Functional: GGA-PBE
Structure: optimized geometry

a b c (Å): 15.1019 15.1019 15.1019
angles (deg): 90.00 90.00 90.00
Space group Ia-3d (No. 230)
One atom of each set of equivalent atoms:
Ce1 0.0370 0.0672 0.6521 (multiplicity 96)
P1 0.0000 0.2500 0.1250 (multiplicity 24)
H1 0.0000 0.0000 0.0000 (multiplicity 16)
H2 0.0000 0.2500 0.3750 (multiplicity 24)

Values from the calculation:
Raw total energy in eV/atom: -5.6523